i:
Material: Si3SnW
Method: DFT, PBE
State: optimized geometry

Computed properties:
Calculated density in Mg/m³: 5.75

Lattice parameters (Å, degrees): 4.8169 4.8169 4.8169 90.00 90.00 90.00
Closest atoms and distances in Å follow each position.
Space group Pm-3m (No. 221)
One atom of each set of equivalent atoms:
Si  0.0000  0.0000  0.5000 [3 per cell]  2 W 2.41
Sn  0.5000  0.5000  0.5000 [1 per cell]  12 Si 3.41
W  0.0000  0.0000  0.0000 [1 per cell]  6 Si 2.41

ii:
Material: Si3SnW
Method: DFT, PBE
State: optimized geometry

Computed properties:
Calculated density in Mg/m³: 5.44

Lattice parameters (Å, degrees): 4.9050 4.9050 4.9050 90.00 90.00 90.00
Closest atoms and distances in Å follow each position.
Space group Pm-3m (No. 221)
One atom of each set of equivalent atoms:
Si  0.0000  0.0000  0.5000 [3 per cell]  2 Sn 2.45
Sn  0.0000  0.0000  0.0000 [1 per cell]  6 Si 2.45
W  0.5000  0.5000  0.5000 [1 per cell]  12 Si 3.47

Which of them is the least stable? Correct choice: ii.